# 1
An optimized crystal structure of BeSi2H, computed with PBE-GGA.

Lattice parameters (Å, degrees): 3.9336 3.9336 6.9730 73.62 73.62 90.00
Last column: nearest neighbours and their distance in Å.
Sites, in units of the cell vectors:
1 Be 0.0000 0.0000 0.0000  4 Si 2.25
2 Be 0.7500 0.2500 0.5000  4 Si 2.25
3 Si 0.5578 0.1250 0.2500  2 H 2.01
4 Si 0.1922 0.6250 0.2500  2 H 2.01
5 Si 0.3750 0.4422 0.7500  2 H 2.01
6 Si 0.8750 0.8078 0.7500  2 H 2.01
7 H 0.5000 0.5000 0.0000  4 Si 2.01
8 H 0.2500 0.7500 0.5000  4 Si 2.01

Computed properties:
**Energy above the lowest structure with this stoichiometry**: 201.3 kJ/mol of formula units
**DOS(E_F)**: 0.452 states/eV per atom
**SG**: I-42d



# 2
An optimized crystal structure of ZrNiW2, computed with PBE-GGA.

Lattice parameters (Å, degrees): 4.3954 2.7462 5.5438 79.56 90.00 90.00
Last column: nearest neighbours and their distance in Å.
Sites, in units of the cell vectors:
1 Ni 0.5000 0.7864 0.7595  5 W 2.72-3.03, 2 Ni 2.75, 2 Zr 2.80
2 W 0.0000 0.0019 0.0083  4 W 2.62-2.75, 2 Ni 2.72, 2 Zr 2.85-2.87
3 W 0.5000 0.2216 0.2235  4 W 2.62-2.75, 1 Ni 2.75, 2 Zr 2.88
4 Zr 0.0000 0.4901 0.5087  2 Zr 2.75, 2 Ni 2.80, 4 W 2.85-2.88

Computed properties:
**Energy above the lowest structure with this stoichiometry**: 52.6 kJ/mol of formula units
**Energy of formation from the pure elements**: 171 meV/atom
**DOS(E_F)**: 1.003 states/eV per atom
**SG**: Pm



# 3
An optimized crystal structure of Tm5Cu2Pb, computed with PBE-GGA.

Lattice parameters (Å, degrees): 7.8030 7.8030 8.5243 117.24 117.24 90.00
Last column: nearest neighbours and their distance in Å.
Sites, in units of the cell vectors:
1 Tm 0.5163 0.7043 0.7206  3 Cu 2.88-2.98
2 Tm 0.7957 0.9837 0.2794  3 Cu 2.88-2.98
3 Tm 0.0000 0.0000 0.0000  4 Cu 3.06, 2 Pb 3.25
4 Tm 0.5000 0.5000 0.0000  4 Cu 3.06, 2 Pb 3.25
5 Tm 0.2043 0.0163 0.7206  3 Cu 2.88-2.98
6 Tm 0.7043 0.2043 0.7206  3 Cu 2.88-2.98
7 Tm 0.0163 0.5163 0.7206  3 Cu 2.88-2.98
8 Tm 0.2957 0.7957 0.2794  3 Cu 2.88-2.98
9 Tm 0.9837 0.4837 0.2794  3 Cu 2.88-2.98
10 Tm 0.4837 0.2957 0.2794  3 Cu 2.88-2.98
11 Cu 0.1297 0.3703 0.0000  1 Cu 2.86, 8 Tm 2.88-3.06
12 Cu 0.6297 0.1297 0.0000  1 Cu 2.86, 8 Tm 2.88-3.06
13 Cu 0.3703 0.8703 0.0000  1 Cu 2.86, 8 Tm 2.88-3.06
14 Cu 0.8703 0.6297 0.0000  1 Cu 2.86, 8 Tm 2.88-3.06
15 Pb 0.7500 0.7500 0.5000  10 Tm 3.25-3.28
16 Pb 0.2500 0.2500 0.5000  10 Tm 3.25-3.28

Computed properties:
**Energy of formation from the pure elements**: -290 meV/atom
**DOS(E_F)**: 1.112 states/eV per atom
**SG**: I4/mcm



# 4
An optimized crystal structure of Y2CuPb, computed with PBE-GGA.

Lattice parameters (Å, degrees): 3.6053 3.5889 8.4784 64.95 90.00 90.00
Last column: nearest neighbours and their distance in Å.
Sites, in units of the cell vectors:
1 Cu 0.5000 0.2500 0.2500  8 Y 3.05
2 Pb 0.5000 0.7500 0.7500  8 Y 3.33, 4 Pb 3.59-3.61
3 Y 0.0000 0.9698 0.0299  4 Cu 3.05, 4 Pb 3.33, 1 Y 3.38
4 Y 0.0000 0.5302 0.4701  4 Cu 3.05, 4 Pb 3.33, 1 Y 3.38

Computed properties:
**Energy of formation from the pure elements**: -335 meV/atom
**DOS(E_F)**: 0.900 states/eV per atom
**SG**: Pmmm